Entry 1:
VASP calculation (PBE) on an optimized crystal structure of K2RbPbCl6.

Summary:
total moment: 0.047 μB/atom
symmetry: P2_1/c (14)
raw formation energy: -1.509 eV per atom
raw total energy: -3.304 eV/atom
calculated density: 2.8 g cm⁻³

abc: 7.656 8.199 11.034
angles: 90.00 88.82 90.00
Site moments in Bohr magnetons follow the coordinates.
Fractional positions:
K 0.029 0.925 0.260  0.00
K 0.529 0.575 0.760  0.00
K 0.971 0.075 0.740  0.00
K 0.471 0.425 0.240  0.00
Rb 0.500 0.000 0.000  0.00
Rb 0.000 0.500 0.500  0.00
Pb 0.500 0.000 0.500  0.10
Pb 0.000 0.500 0.000  0.10
Cl 0.288 0.675 0.061  0.05
Cl 0.788 0.825 0.561  0.05
Cl 0.712 0.325 0.939  0.05
Cl 0.212 0.175 0.439  0.05
Cl 0.338 0.725 0.410  0.04
Cl 0.838 0.775 0.910  0.04
Cl 0.662 0.275 0.590  0.04
Cl 0.162 0.225 0.090  0.04
Cl 0.856 0.574 0.224  0.05
Cl 0.356 0.926 0.724  0.05
Cl 0.144 0.426 0.776  0.05
Cl 0.644 0.074 0.276  0.05

Entry 2:
VASP calculation (PBE) on an optimized crystal structure of Tb2Nd6Tl.

Summary:
total moment: 0.000 μB/atom
symmetry: C2/c (15)
energy of formation from the pure elements: 0.027 eV per atom
raw total energy: -4.443 eV/atom
calculated density: 7.8 g cm⁻³

abc: 6.242 6.243 16.860
angles: 105.74 105.74 98.35
Fractional positions:
Tb 0.437 0.426 0.323
Tb 0.574 0.563 0.177
Tb 0.563 0.574 0.677
Tb 0.426 0.437 0.823
Nd 0.190 0.355 0.467
Nd 0.645 0.810 0.033
Nd 0.810 0.645 0.533
Nd 0.355 0.190 0.967
Nd 0.029 0.635 0.917
Nd 0.365 0.971 0.583
Nd 0.971 0.365 0.083
Nd 0.635 0.029 0.417
Nd 0.229 0.952 0.160
Nd 0.048 0.771 0.340
Nd 0.771 0.048 0.840
Nd 0.952 0.229 0.660
Tl 0.831 0.169 0.250
Tl 0.169 0.831 0.750

Entry 3:
VASP calculation (PBE) on an optimized crystal structure of LiPm4Tl3.

Summary:
energy relative to the lowest polymorph listed for this composition: 0.0 meV/atom
total moment: 0.000 μB/atom
symmetry: R-3m (166)
energy of formation from the pure elements: -0.302 eV per atom
raw total energy: -3.804 eV/atom
calculated density: 8.6 g cm⁻³

abc: 5.451 5.451 9.516
angles: 73.36 73.36 60.00
Fractional positions:
Tl 0.258 0.258 0.226
Tl 0.742 0.742 0.774
Tl 0.500 0.500 0.500
Pm 0.874 0.874 0.377
Pm 0.378 0.378 0.867
Pm 0.126 0.126 0.623
Pm 0.622 0.622 0.133
Li 0.000 0.000 0.000

Entry 4:
VASP calculation (PBE) on an optimized crystal structure of K4PrHo3Te8.

Summary:
total moment: 0.000 μB/atom
symmetry: C2/m (12)
raw formation energy: -1.394 eV per atom
raw total energy: -4.396 eV/atom
calculated density: 5.1 g cm⁻³

abc: 9.048 9.767 9.048
angles: 117.64 120.00 90.00
Fractional positions:
K 0.500 0.000 0.000
K 0.500 0.000 0.500
K 0.000 0.000 0.000
K 0.000 0.000 0.500
Pr 0.000 0.500 0.000
Ho 0.500 0.500 0.000
Ho 0.500 0.500 0.500
Ho 0.000 0.500 0.500
Te 0.242 0.711 0.970
Te 0.241 0.711 0.483
Te 0.264 0.294 0.529
Te 0.728 0.711 0.970
Te 0.272 0.289 0.030
Te 0.736 0.706 0.471
Te 0.759 0.289 0.517
Te 0.758 0.289 0.030

Entry 5:
VASP calculation (PBE) on an optimized crystal structure of LiSi5O10.

Summary:
energy relative to the lowest polymorph listed for this composition: 155.7 meV/atom
total moment: 0.000 μB/atom
symmetry: Pmm2 (25)
raw formation energy: -2.348 eV per atom
raw total energy: -7.261 eV/atom
calculated density: 1.5 g cm⁻³

abc: 6.520 6.974 7.573
angles: 90.00 90.00 90.00
Fractional positions:
Li 0.865 0.000 0.000
Si 0.120 0.269 0.000
Si 0.883 0.000 0.717
Si 0.883 0.000 0.283
Si 0.120 0.731 0.000
Si 0.498 0.000 0.000
O 0.357 0.193 0.000
O 0.652 0.000 0.823
O 0.652 0.000 0.177
O 0.357 0.807 0.000
O 0.997 0.185 0.177
O 0.997 0.185 0.823
O 0.997 0.815 0.177
O 0.997 0.815 0.823
O 0.119 0.500 0.000
O 0.880 0.000 0.500

Entry 6:
VASP calculation (PBE) on an optimized crystal structure of LiAs2Pb3O6.

Summary:
total moment: 0.087 μB/atom
symmetry: P-3m1 (164)
raw formation energy: -1.141 eV per atom
raw total energy: -5.482 eV/atom
calculated density: 7.6 g cm⁻³

abc: 5.739 5.739 6.733
angles: 90.00 90.00 120.00
Site moments in Bohr magnetons follow the coordinates.
Fractional positions:
Li 0.000 0.000 0.500  0.00
As 0.667 0.333 0.828  0.03
As 0.333 0.667 0.172  0.03
Pb 0.333 0.667 0.634  0.02
Pb 0.667 0.333 0.366  0.02
Pb 0.000 0.000 0.000  0.18
O 0.644 0.822 0.314  0.04
O 0.178 0.356 0.314  0.04
O 0.178 0.822 0.314  0.04
O 0.822 0.644 0.686  0.04
O 0.356 0.178 0.686  0.04
O 0.822 0.178 0.686  0.04

Q: What is the total moment in the first record?
A: 0.047 μB/atom

Q: What is the formula in the fourth record?
A: K4PrHo3Te8